19
Lattice="-3.836 4.669 -8.617 -1.581 -8.194 -6.412 -10.344 -1.635 1.043" Properties=species:S:1:pos:R:3 comment="GGA-PBE K12Na6Ag, relaxed" delta_e_f_ev_per_atom=0.04 rho_g_cm3=1.081 sg="R-3, No. 148" pbc="T T T"
K -4.719 -2.160 -7.619
K -7.653 0.080 -5.139
K -8.108 -5.240 -8.846
K -10.001 -2.083 -2.210
K -6.926 -4.238 -4.365
K -5.718 1.957 -8.527
K -4.302 -6.429 -7.028
K -8.835 -0.922 -9.620
K -5.760 -3.077 -11.776
K -11.459 1.269 -6.957
K -10.043 -7.117 -5.458
K -11.042 -3.000 -6.366
Na -10.304 -3.916 -12.345
Na -12.338 -5.899 -9.322
Na -3.423 0.739 -4.663
Na -13.051 -1.871 -10.005
Na -5.457 -1.244 -1.640
Na -2.710 -3.290 -3.981
Ag 0.000 0.000 0.000